Version one
Crystalline LaNdGaIr at its relaxed geometry, computed with PBE-GGA.

POSCAR file:
```
LaNdGaIr
1.0
-4.982 -0.073 1.381
-1.624 -3.290 3.643
-1.422 1.779 4.642
Ir Nd Ga La
1 1 1 1
direct
0.750 0.750 0.750 Ir
0.000 0.000 0.000 Nd
0.250 0.250 0.250 Ga
0.500 0.500 0.500 La
```

V   97.74 Å³ per cell
Symmetry   F-43m, No. 216
Fermi-level density of states   0.922 states/eV/atom

=====

Version two
Crystalline LaNdGaIr at its relaxed geometry, computed with PBE-GGA.

POSCAR file:
```
LaNdGaIr
1.0
-1.402 0.328 -4.142
3.357 -1.737 -1.273
-1.814 -5.346 2.512
La Nd Ga Ir
1 1 1 1
direct
0.867 0.500 0.734 La
0.149 0.000 0.297 Nd
0.567 0.500 0.135 Ga
0.417 0.000 0.834 Ir
```

V   101.04 Å³ per cell
Symmetry   Amm2, No. 38
Fermi-level density of states   0.738 states/eV/atom

=====

Which structure wins on stability? version two wins.

=====

Version one
Crystalline LaTbGaIr at its relaxed geometry, computed with PBE-GGA.

POSCAR file:
```
LaTbGaIr
1.0
-0.263 1.419 -4.889
3.461 -1.697 -3.336
-1.344 -3.384 -3.568
Ir Tb Ga La
1 1 1 1
direct
0.750 0.750 0.750 Ir
0.000 0.000 0.000 Tb
0.250 0.250 0.250 Ga
0.500 0.500 0.500 La
```

V   93.68 Å³ per cell
Symmetry   F-43m, No. 216
Fermi-level density of states   0.961 states/eV/atom

=====

Version two
Crystalline LaTbGaIr at its relaxed geometry, computed with PBE-GGA.

POSCAR file:
```
LaTbGaIr
1.0
4.289 0.000 0.000
0.000 4.347 0.000
-2.144 0.000 5.255
La Tb Ga Ir
1 1 1 1
direct
0.149 0.000 0.298 La
0.864 0.500 0.727 Tb
0.564 0.500 0.127 Ga
0.424 0.000 0.847 Ir
```

V   97.96 Å³ per cell
Symmetry   Amm2, No. 38
Fermi-level density of states   0.891 states/eV/atom

=====

Which structure wins on stability? version two wins.

=====

Version one
Crystalline Li2Ga4Ir at its relaxed geometry, computed with PBE-GGA.

POSCAR file:
```
Li2Ga4Ir
1.0
-1.159 -3.797 2.590
2.697 -2.725 -2.788
6.082 -2.131 3.935
Ir Ga Li
1 4 2
direct
0.000 0.000 0.000 Ir
0.188 0.188 0.624 Ga
0.812 0.812 0.376 Ga
0.000 0.500 0.000 Ga
0.500 0.000 0.000 Ga
0.378 0.378 0.244 Li
0.622 0.622 0.756 Li
```

V   152.03 Å³ per cell
Symmetry   I4/mmm, No. 139
Fermi-level density of states   0.394 states/eV/atom

=====

Version two
Crystalline Li2Ga4Ir at its relaxed geometry, computed with PBE-GGA.

POSCAR file:
```
Li2Ga4Ir
1.0
-2.464 -5.933 1.620
6.298 0.301 2.036
-3.399 4.884 2.913
Li Ga Ir
4 8 2
direct
0.875 0.144 0.519 Li
0.481 0.356 0.625 Li
0.375 0.856 0.731 Li
0.269 0.644 0.125 Li
0.111 0.914 0.374 Ga
0.626 0.737 0.540 Ga
0.948 0.586 0.710 Ga
0.290 0.237 0.876 Ga
0.639 0.763 0.052 Ga
0.802 0.263 0.889 Ga
0.460 0.086 0.198 Ga
0.124 0.414 0.361 Ga
0.000 0.000 0.000 Ir
0.750 0.500 0.250 Ir
```

V   223.72 Å³ per cell
Symmetry   I-42d, No. 122
Fermi-level density of states   0.412 states/eV/atom

=====

Which structure wins on stability? version two wins.

=====

Version one
Crystalline LiGa2Ir2 at its relaxed geometry, computed with PBE-GGA.

POSCAR file:
```
LiGa2Ir2
1.0
-1.388 -1.331 -3.483
-0.545 -3.605 1.595
-10.165 2.836 2.967
Li Ga Ir
2 4 4
direct
0.250 0.751 0.267 Li
0.750 0.249 0.733 Li
0.250 0.749 0.641 Ga
0.750 0.251 0.359 Ga
0.250 0.250 0.000 Ga
0.750 0.750 0.000 Ga
0.250 0.750 0.863 Ir
0.750 0.250 0.137 Ir
0.250 0.250 0.500 Ir
0.750 0.750 0.500 Ir
```

V   173.54 Å³ per cell
Symmetry   P2_1/m, No. 11
Fermi-level density of states   0.526 states/eV/atom

=====

Version two
Crystalline LiGa2Ir2 at its relaxed geometry, computed with PBE-GGA.

POSCAR file:
```
LiGa2Ir2
1.0
-1.649 0.809 3.667
-3.124 -2.518 -0.849
0.317 -4.920 3.521
Ir Ga Li
2 2 1
direct
0.384 0.384 0.232 Ir
0.616 0.616 0.768 Ir
0.750 0.250 0.500 Ga
0.250 0.750 0.500 Ga
0.000 0.000 0.000 Li
```

V   89.46 Å³ per cell
Symmetry   I4/mmm, No. 139
Fermi-level density of states   0.439 states/eV/atom

=====

Which structure wins on stability? version one wins.

=====

Version one
Crystalline LiGa2Ir2 at its relaxed geometry, computed with PBE-GGA.

POSCAR file:
```
LiGa2Ir2
1.0
7.251 0.000 0.000
0.000 7.251 0.000
0.000 0.000 2.891
Ir Ga Li
4 4 2
direct
0.152 0.652 0.500 Ir
0.652 0.848 0.500 Ir
0.848 0.348 0.500 Ir
0.348 0.152 0.500 Ir
0.354 0.854 0.000 Ga
0.854 0.646 0.000 Ga
0.646 0.146 0.000 Ga
0.146 0.354 0.000 Ga
0.000 0.000 0.000 Li
0.500 0.500 0.000 Li
```

V   151.99 Å³ per cell
Symmetry   P4/mbm, No. 127
Fermi-level density of states   0.237 states/eV/atom

=====

Version two
Crystalline LiGa2Ir2 at its relaxed geometry, computed with PBE-GGA.

POSCAR file:
```
LiGa2Ir2
1.0
-1.253 1.999 3.276
0.021 -3.442 2.108
4.470 0.168 4.094
Ir Ga Li
2 2 1
direct
0.750 0.250 0.500 Ir
0.250 0.750 0.500 Ir
0.385 0.385 0.229 Ga
0.615 0.615 0.771 Ga
0.000 0.000 0.000 Li
```

V   87.18 Å³ per cell
Symmetry   I4/mmm, No. 139
Fermi-level density of states   0.455 states/eV/atom

=====

Which structure wins on stability? version one wins.

=====

Version one
Crystalline Li3Ga4Ir at its relaxed geometry, computed with PBE-GGA.

POSCAR file:
```
Li3Ga4Ir
1.0
6.139 -0.643 0.626
-3.583 5.026 -0.626
-1.979 -1.783 5.603
Li Ga Ir
3 4 1
direct
0.570 0.172 0.742 Li
0.926 0.000 0.926 Li
0.570 0.828 0.398 Li
0.249 0.711 0.960 Ga
0.249 0.289 0.538 Ga
0.525 0.253 0.272 Ga
0.019 0.747 0.272 Ga
0.044 0.500 0.544 Ir
```

V   162.54 Å³ per cell
Symmetry   Imm2, No. 44
Fermi-level density of states   0.425 states/eV/atom

=====

Version two
Crystalline Li3Ga4Ir at its relaxed geometry, computed with PBE-GGA.

POSCAR file:
```
Li3Ga4Ir
1.0
4.250 0.000 -1.147
-0.305 4.244 -1.131
-0.478 -0.544 6.676
Ir Ga Li
1 4 3
direct
0.500 0.000 0.000 Ir
0.376 0.375 0.751 Ga
0.624 0.625 0.249 Ga
0.124 0.121 0.249 Ga
0.876 0.879 0.751 Ga
0.000 0.500 0.000 Li
0.738 0.240 0.476 Li
0.262 0.760 0.524 Li
```

V   115.27 Å³ per cell
Symmetry   C2/m, No. 12
Fermi-level density of states   0.200 states/eV/atom

=====

Which structure wins on stability? version two wins.

=====

Version one
Crystalline Li4GaIr at its relaxed geometry, computed with PBE-GGA.

POSCAR file:
```
Li4GaIr
1.0
4.561 0.006 1.060
-2.422 3.891 1.035
0.156 0.273 4.946
Li Ga Ir
4 1 1
direct
0.330 0.170 0.502 Li
0.667 0.835 0.501 Li
0.837 0.662 0.002 Li
0.159 0.344 0.001 Li
0.498 0.003 0.001 Ga
0.998 0.503 0.501 Ir
```

V   85.20 Å³ per cell
Symmetry   P-1, No. 2
Fermi-level density of states   0.364 states/eV/atom

=====

Version two
Crystalline Li4GaIr at its relaxed geometry, computed with PBE-GGA.

POSCAR file:
```
Li4GaIr
1.0
4.435 0.000 0.000
0.000 7.864 -2.260
0.000 -5.125 6.396
Li Ga Ir
8 2 2
direct
0.500 0.823 0.667 Li
0.500 0.677 0.833 Li
0.000 0.086 0.410 Li
0.000 0.414 0.090 Li
0.000 0.914 0.590 Li
0.000 0.586 0.910 Li
0.500 0.323 0.167 Li
0.500 0.177 0.333 Li
0.500 0.250 0.750 Ga
0.500 0.750 0.250 Ga
0.000 0.500 0.500 Ir
0.000 0.000 0.000 Ir
```

V   171.73 Å³ per cell
Symmetry   P2/m, No. 10
Fermi-level density of states   0.307 states/eV/atom

=====

Which structure wins on stability? version one wins.

=====

Version one
Crystalline Li6Ga2Ir at its relaxed geometry, computed with PBE-GGA.

POSCAR file:
```
Li6Ga2Ir
1.0
2.997 0.162 0.228
0.194 7.471 -0.904
0.194 -3.315 6.756
Li Ga Ir
6 2 1
direct
0.849 0.496 0.160 Li
0.151 0.504 0.840 Li
0.628 0.697 0.697 Li
0.849 0.160 0.496 Li
0.151 0.840 0.504 Li
0.372 0.303 0.303 Li
0.500 0.843 0.157 Ga
0.500 0.157 0.843 Ga
0.000 0.000 0.000 Ir
```

V   141.57 Å³ per cell
Symmetry   C2/m, No. 12
Fermi-level density of states   0.316 states/eV/atom

=====

Version two
Crystalline Li6Ga2Ir at its relaxed geometry, computed with PBE-GGA.

POSCAR file:
```
Li6Ga2Ir
1.0
-3.749 0.478 1.645
0.817 -4.322 3.116
3.867 5.515 2.048
Li Ga Ir
6 2 1
direct
0.403 0.854 0.806 Li
0.597 0.146 0.194 Li
0.706 0.821 0.412 Li
0.152 0.466 0.303 Li
0.294 0.179 0.588 Li
0.848 0.534 0.697 Li
0.942 0.185 0.884 Ga
0.058 0.815 0.116 Ga
0.500 0.500 0.000 Ir
```

V   137.47 Å³ per cell
Symmetry   C2/m, No. 12
Fermi-level density of states   0.343 states/eV/atom

=====

Which structure wins on stability? version two wins.

=====

Version one
Crystalline MgGa3Ir at its relaxed geometry, computed with PBE-GGA.

POSCAR file:
```
MgGa3Ir
1.0
-0.633 5.493 0.227
-1.880 -0.522 7.375
8.195 0.856 2.149
Mg Ga Ir
4 12 4
direct
0.252 0.626 0.750 Mg
0.248 0.126 0.250 Mg
0.748 0.374 0.250 Mg
0.752 0.874 0.750 Mg
0.864 0.188 0.942 Ga
0.636 0.688 0.442 Ga
0.636 0.688 0.058 Ga
0.136 0.812 0.442 Ga
0.136 0.812 0.058 Ga
0.364 0.312 0.558 Ga
0.364 0.312 0.942 Ga
0.864 0.188 0.558 Ga
0.236 0.014 0.750 Ga
0.264 0.514 0.250 Ga
0.764 0.986 0.250 Ga
0.736 0.486 0.750 Ga
0.000 0.500 0.000 Ir
0.500 0.000 0.500 Ir
0.500 0.000 0.000 Ir
0.000 0.500 0.500 Ir
```

V   359.51 Å³ per cell
Symmetry   Pnma, No. 62
Fermi-level density of states   0.312 states/eV/atom

=====

Version two
Crystalline MgGa3Ir at its relaxed geometry, computed with PBE-GGA.

POSCAR file:
```
MgGa3Ir
1.0
-2.058 -2.963 -0.697
5.336 -3.239 -1.986
2.941 -3.506 6.220
Mg Ga Ir
2 6 2
direct
0.382 0.521 0.230 Mg
0.882 0.154 0.576 Mg
0.881 0.655 0.490 Ga
0.381 0.020 0.316 Ga
0.881 0.680 0.894 Ga
0.881 0.261 0.051 Ga
0.381 0.414 0.755 Ga
0.381 0.995 0.912 Ga
0.381 0.817 0.654 Ir
0.881 0.858 0.152 Ir
```

V   177.86 Å³ per cell
Symmetry   P2_1/m, No. 11
Fermi-level density of states   0.324 states/eV/atom

=====

Which structure wins on stability? version two wins.

=====

Version one
Crystalline MgGa4Ir2 at its relaxed geometry, computed with PBE-GGA.

POSCAR file:
```
MgGa4Ir2
1.0
4.817 0.000 0.000
0.000 4.817 0.000
2.408 2.408 6.375
Mg Ir Ga
1 2 4
direct
0.000 0.000 0.000 Mg
0.400 0.400 0.201 Ir
0.600 0.600 0.799 Ir
0.212 0.212 0.577 Ga
0.788 0.788 0.423 Ga
0.000 0.500 0.000 Ga
0.500 0.000 0.000 Ga
```

V   147.88 Å³ per cell
Symmetry   I4/mmm, No. 139
Fermi-level density of states   0.693 states/eV/atom

=====

Version two
Crystalline MgGa4Ir2 at its relaxed geometry, computed with PBE-GGA.

POSCAR file:
```
MgGa4Ir2
1.0
4.620 0.002 1.978
-0.529 4.590 1.978
0.102 0.114 5.507
Mg Ga Ir
1 4 2
direct
0.000 0.000 0.000 Mg
0.596 0.982 0.710 Ga
0.404 0.018 0.290 Ga
0.018 0.404 0.290 Ga
0.982 0.596 0.710 Ga
0.442 0.442 0.791 Ir
0.558 0.558 0.209 Ir
```

V   114.69 Å³ per cell
Symmetry   C2/m, No. 12
Fermi-level density of states   0.316 states/eV/atom

=====

Which structure wins on stability? version two wins.

=====

Version one
Crystalline MgGa2Ir2 at its relaxed geometry, computed with PBE-GGA.

POSCAR file:
```
MgGa2Ir2
1.0
3.070 0.000 0.000
0.000 2.898 0.549
0.000 -0.198 8.965
Mg Ga Ir
1 2 2
direct
0.000 0.000 0.000 Mg
0.000 0.183 0.635 Ga
0.000 0.817 0.365 Ga
0.500 0.398 0.203 Ir
0.500 0.602 0.797 Ir
```

V   80.09 Å³ per cell
Symmetry   Cmmm, No. 65
Fermi-level density of states   0.316 states/eV/atom

=====

Version two
Crystalline MgGa2Ir2 at its relaxed geometry, computed with PBE-GGA.

POSCAR file:
```
MgGa2Ir2
1.0
7.281 0.000 0.000
0.000 7.281 0.000
0.000 0.000 2.968
Mg Ir Ga
2 4 4
direct
0.000 0.000 0.000 Mg
0.500 0.500 0.000 Mg
0.351 0.851 0.000 Ir
0.851 0.649 0.000 Ir
0.649 0.149 0.000 Ir
0.149 0.351 0.000 Ir
0.150 0.650 0.500 Ga
0.650 0.850 0.500 Ga
0.850 0.350 0.500 Ga
0.350 0.150 0.500 Ga
```

V   157.34 Å³ per cell
Symmetry   P4/mbm, No. 127
Fermi-level density of states   0.295 states/eV/atom

=====

Version three
Crystalline MgGa2Ir2 at its relaxed geometry, computed with PBE-GGA.

POSCAR file:
```
MgGa2Ir2
1.0
-0.497 3.086 2.337
-3.004 1.178 -2.195
-5.333 -0.919 3.337
Mg Ir Ga
1 2 2
direct
0.000 0.000 0.000 Mg
0.389 0.389 0.221 Ir
0.611 0.611 0.779 Ir
0.750 0.250 0.500 Ga
0.250 0.750 0.500 Ga
```

V   87.23 Å³ per cell
Symmetry   I4/mmm, No. 139
Fermi-level density of states   0.453 states/eV/atom

=====

Version four
Crystalline MgGa2Ir2 at its relaxed geometry, computed with PBE-GGA.

POSCAR file:
```
MgGa2Ir2
1.0
4.361 0.000 0.000
-2.180 3.777 0.000
0.000 0.000 5.098
Mg Ga Ir
1 2 2
direct
0.000 0.000 0.000 Mg
0.333 0.667 0.661 Ga
0.667 0.333 0.339 Ga
0.333 0.667 0.170 Ir
0.667 0.333 0.830 Ir
```

V   83.96 Å³ per cell
Symmetry   P-3m1, No. 164
Fermi-level density of states   0.621 states/eV/atom

=====

Which structure wins on stability? version two wins.